Compound: La2ScSbH
Source: Alexandria
Functional: PBE
Structure: relaxed

Structure (POSCAR):
```
La2ScSbH
1.0
4.9011 0.0000 0.0000
0.0000 4.9011 0.0000
0.0000 0.0000 4.8138
La Sc Sb H
2 1 1 1
Cartesian
0.0000 2.4505 0.0000
2.4505 0.0000 0.0000
0.0000 0.0000 2.4069
2.4505 2.4505 2.4069
0.0000 0.0000 0.0000
```

Output
DFT total energy = -5.305 eV per atom
Space group = P4/mmm (123)
Density = 6.4 g/cm3
N(E_F) = 1.234 states/eV/atom
V = 23.1 Å³/atom